The following is a PBE calculation of a relaxed Np2SiNi4Ge3 crystal, from Alexandria.

Properties
electronic total energy: -7.07 eV/atom
density of states at the Fermi level: 1.93 states/eV per atom

Lattice parameters (Å, degrees): 4.0550 4.0550 9.4173 90.00 90.00 90.00
With the nearest neighbours (Å) after each atom.
Positions (direct):
Ni 0.0000 0.5000 0.3781  3 Ge 2.31-2.33, 2 Si 2.33
Ni 0.5000 0.0000 0.6219  3 Ge 2.31-2.33, 2 Si 2.33
Ni 0.0000 0.0000 0.0000  4 Ge 2.38
Ni 0.5000 0.5000 0.0000  4 Ge 2.38
Si 0.5000 0.5000 0.5000  4 Ni 2.33
Np 0.0000 0.5000 0.7509  6 Ge 3.07-3.11, 8 Ni 3.10-3.11, 2 Si 3.11
Np 0.5000 0.0000 0.2491  6 Ge 3.07-3.11, 8 Ni 3.10-3.11, 2 Si 3.11
Ge 0.5000 0.0000 0.8674  5 Ni 2.31-2.38
Ge 0.0000 0.0000 0.5000  4 Ni 2.33
Ge 0.0000 0.5000 0.1326  5 Ni 2.31-2.38

=====

The following is a PBE calculation of a relaxed NpTcNi2Ge4 crystal, from Alexandria.

Properties
electronic total energy: -6.80 eV/atom
density of states at the Fermi level: 0.80 states/eV per atom
ΔH_f (0 K): -132.6 meV per atom

Lattice parameters (Å, degrees): 4.1208 4.1208 9.0542 76.85 76.85 60.00
With the nearest neighbours (Å) after each atom.
Positions (direct):
Ge 0.6023 0.6023 0.1930  3 Ni 2.56, 1 Tc 2.68
Ge 0.8736 0.8736 0.3793  3 Ni 2.48, 3 Tc 2.60
Ge 0.3977 0.3977 0.8070  3 Ni 2.56, 1 Tc 2.68
Ge 0.1264 0.1264 0.6207  3 Ni 2.48, 3 Tc 2.60
Ni 0.2330 0.2330 0.3011  6 Ge 2.48-2.56
Ni 0.7670 0.7670 0.6989  6 Ge 2.48-2.56
Np 0.0000 0.0000 0.0000  6 Ge 2.92
Tc 0.5000 0.5000 0.5000  8 Ge 2.60-2.68

=====

The following is a PBE calculation of a relaxed NpTcNiGe crystal, from Alexandria.

Properties
electronic total energy: -8.42 eV/atom
density of states at the Fermi level: 1.57 states/eV per atom
ΔH_f (0 K): 5.5 meV per atom

Lattice parameters (Å, degrees): 4.5094 4.5094 4.5094 60.00 60.00 60.00
With the nearest neighbours (Å) after each atom.
Positions (direct):
Ni 0.0000 0.0000 0.0000  4 Ge 2.76, 4 Np 2.76
Ge 0.2500 0.2500 0.2500  4 Ni 2.76, 4 Tc 2.76
Tc 0.5000 0.5000 0.5000  4 Np 2.76, 4 Ge 2.76
Np 0.7500 0.7500 0.7500  4 Tc 2.76, 4 Ni 2.76

=====

The following is a PBE calculation of a relaxed Np2TcNi3Ge4 crystal, from Alexandria.

Properties
electronic total energy: -7.52 eV/atom
density of states at the Fermi level: 2.26 states/eV per atom
ΔH_f (0 K): -317.3 meV per atom

Lattice parameters (Å, degrees): 4.1350 4.1350 9.7331 90.00 90.00 90.00
With the nearest neighbours (Å) after each atom.
Positions (direct):
Ge 0.5000 0.5000 0.0000  4 Ni 2.38
Ge 0.0000 0.0000 0.0000  4 Ni 2.38
Ge 0.5000 0.0000 0.6388  3 Ni 2.33-2.47, 2 Tc 2.47
Ge 0.0000 0.5000 0.3612  3 Ni 2.33-2.47, 2 Tc 2.47
Tc 0.5000 0.5000 0.5000  4 Ge 2.47
Np 0.0000 0.5000 0.7534  8 Ge 3.13-3.17, 6 Ni 3.17-3.22, 2 Tc 3.22
Np 0.5000 0.0000 0.2466  8 Ge 3.13-3.17, 6 Ni 3.17-3.22, 2 Tc 3.22
Ni 0.0000 0.5000 0.1217  5 Ge 2.33-2.38
Ni 0.5000 0.0000 0.8783  5 Ge 2.33-2.38
Ni 0.0000 0.0000 0.5000  4 Ge 2.47

=====

The following is a PBE calculation of a relaxed Np2ZnNi3Ge4 crystal, from Alexandria.

Properties
electronic total energy: -6.61 eV/atom
density of states at the Fermi level: 2.12 states/eV per atom
ΔH_f (0 K): -317.7 meV per atom

Lattice parameters (Å, degrees): 4.1116 4.1116 9.8637 90.00 90.00 90.00
With the nearest neighbours (Å) after each atom.
Positions (direct):
Ge 0.5000 0.5000 0.0000  4 Ni 2.38
Ge 0.0000 0.5000 0.3564  3 Ni 2.32-2.50, 2 Zn 2.50
Ge 0.5000 0.0000 0.6436  3 Ni 2.32-2.50, 2 Zn 2.50
Ge 0.0000 0.0000 0.0000  4 Ni 2.38
Ni 0.0000 0.0000 0.5000  4 Ge 2.50
Ni 0.5000 0.0000 0.8789  5 Ge 2.32-2.38
Ni 0.0000 0.5000 0.1211  5 Ge 2.32-2.38
Np 0.0000 0.5000 0.7544  8 Ge 3.11-3.18, 6 Ni 3.16-3.24, 2 Zn 3.24
Np 0.5000 0.0000 0.2456  8 Ge 3.11-3.18, 6 Ni 3.16-3.24, 2 Zn 3.24
Zn 0.5000 0.5000 0.5000  4 Ge 2.50

=====

The following is a PBE calculation of a relaxed NpZnNi4Ge2 crystal, from Alexandria.

Properties
electronic total energy: -6.02 eV/atom
density of states at the Fermi level: 1.93 states/eV per atom
ΔH_f (0 K): -201.5 meV per atom

Lattice parameters (Å, degrees): 4.0491 4.0491 8.4213 76.09 76.09 60.00
With the nearest neighbours (Å) after each atom.
Positions (direct):
Zn 0.5000 0.5000 0.5000  8 Ni 2.41-2.48
Ni 0.8676 0.8676 0.3971  3 Zn 2.48, 4 Ge 2.55-2.69
Ni 0.4007 0.4007 0.7978  3 Ge 2.40, 1 Zn 2.41
Ni 0.1324 0.1324 0.6029  3 Zn 2.48, 4 Ge 2.55-2.69
Ni 0.5993 0.5993 0.2022  3 Ge 2.40, 1 Zn 2.41
Ge 0.7568 0.7568 0.7295  7 Ni 2.40-2.69
Ge 0.2432 0.2432 0.2705  7 Ni 2.40-2.69
Np 0.0000 0.0000 0.0000  6 Ni 2.85